No. 1
BaTb4Te6 | the Alexandria database | PBE-GGA | optimized geometry; N(E_F) = 7.98 states/eV/cell; energy relative to the elements, uncorrected = -1.46 eV/atom; space-group type = Cmcm (63)
1.0
-0.789 -3.680 2.390
7.418 0.154 -1.472
3.588 11.771 19.309
Ba Tb Te
2 8 12
Direct
0.659 0.319 0.250
0.341 0.681 0.750
0.860 0.720 0.537
0.407 0.814 0.125
0.140 0.280 0.463
0.593 0.186 0.875
0.860 0.720 0.963
0.140 0.280 0.037
0.593 0.186 0.625
0.407 0.814 0.375
0.500 0.000 0.000
0.500 0.000 0.500
0.044 0.088 0.343
0.956 0.912 0.657
0.956 0.912 0.843
0.044 0.088 0.157
0.767 0.533 0.412
0.233 0.467 0.588
0.233 0.467 0.912
0.767 0.533 0.088
0.340 0.680 0.250
0.660 0.320 0.750

---

No. 2
Ba3TbTm3Te8 | the Alexandria database | PBE-GGA | optimized geometry; N(E_F) = 4.00 states/eV/cell; energy relative to the elements, uncorrected = -1.50 eV/atom; space-group type = R-3m (166)
1.0
8.934 0.001 0.000
-4.466 7.733 -0.029
-0.001 -5.123 7.985
Ba Tb Tm Te
3 1 3 8
Direct
0.000 0.000 0.000
0.000 0.500 0.000
0.500 0.500 0.000
0.000 0.000 0.500
0.500 0.000 0.500
0.500 0.500 0.500
0.000 0.500 0.500
0.263 0.525 0.288
0.737 0.475 0.712
0.757 0.515 0.285
0.243 0.485 0.715
0.757 0.028 0.285
0.243 0.972 0.715
0.270 0.028 0.285
0.730 0.972 0.715

---

No. 3
Ba3TbY2Te6 | the Alexandria database | PBE-GGA | optimized geometry; N(E_F) = 5.52 states/eV/cell; energy relative to the elements, uncorrected = -1.53 eV/atom; space-group type = C2/m (12)
1.0
-0.371 7.780 1.516
-3.495 -5.159 4.913
7.893 -1.372 2.033
Ba Tb Y Te
3 1 2 6
Direct
0.167 0.833 0.500
0.833 0.167 0.500
0.500 0.500 0.500
0.000 0.000 0.000
0.333 0.667 0.000
0.667 0.333 0.000
0.928 0.594 0.784
0.738 0.738 0.216
0.072 0.406 0.216
0.594 0.928 0.784
0.262 0.262 0.784
0.406 0.072 0.216

---

- Number 1 is which compound?
  BaTb4Te6

---

- Which of these has the lowest energy relative to the elements, uncorrected?
  Ba3TbY2Te6

---

Please write out number 3 again, unchanged.
Ba3TbY2Te6 | the Alexandria database | PBE-GGA | optimized geometry; N(E_F) = 5.52 states/eV/cell; energy relative to the elements, uncorrected = -1.53 eV/atom; space-group type = C2/m (12)
1.0
-0.371 7.780 1.516
-3.495 -5.159 4.913
7.893 -1.372 2.033
Ba Tb Y Te
3 1 2 6
Direct
0.167 0.833 0.500
0.833 0.167 0.500
0.500 0.500 0.500
0.000 0.000 0.000
0.333 0.667 0.000
0.667 0.333 0.000
0.928 0.594 0.784
0.738 0.738 0.216
0.072 0.406 0.216
0.594 0.928 0.784
0.262 0.262 0.784
0.406 0.072 0.216

---

Repeat the second record exactly.
Ba3TbTm3Te8 | the Alexandria database | PBE-GGA | optimized geometry; N(E_F) = 4.00 states/eV/cell; energy relative to the elements, uncorrected = -1.50 eV/atom; space-group type = R-3m (166)
1.0
8.934 0.001 0.000
-4.466 7.733 -0.029
-0.001 -5.123 7.985
Ba Tb Tm Te
3 1 3 8
Direct
0.000 0.000 0.000
0.000 0.500 0.000
0.500 0.500 0.000
0.000 0.000 0.500
0.500 0.000 0.500
0.500 0.500 0.500
0.000 0.500 0.500
0.263 0.525 0.288
0.737 0.475 0.712
0.757 0.515 0.285
0.243 0.485 0.715
0.757 0.028 0.285
0.243 0.972 0.715
0.270 0.028 0.285
0.730 0.972 0.715